Entry 1:
A geometry-optimized Be2MoPt structure. Source: Alexandria via LeMat-Bulk, functional PBEsol.

```
Be2MoPt
1.0
3.7974 0.0000 0.0000
0.0000 1.3695 4.3798
0.0000 -1.3695 4.3798
Be Mo Pt
2 1 1
direct
0.0000 0.0000 0.0000 Be
0.5000 0.1473 0.1473 Be
0.0000 0.7277 0.7277 Mo
0.5000 0.4269 0.4269 Pt
```

Output
For the formation energy from the elements, the calculation gives -264 meV per atom. Its volume is 11.39 Å³ per atom. The space group is Amm2.


Entry 2:
A geometry-optimized RbBe2Mo structure. Source: Alexandria via LeMat-Bulk, functional PBEsol.

```
RbBe2Mo
1.0
0.0000 3.3034 3.3034
3.3034 0.0000 3.3034
3.3034 3.3034 0.0000
Rb Be Mo
1 2 1
direct
0.0000 0.0000 0.0000 Rb
0.2500 0.2500 0.2500 Be
0.7500 0.7500 0.7500 Be
0.5000 0.5000 0.5000 Mo
```

Output
For the formation energy from the elements, the calculation gives 1774 meV per atom. Its volume is 18.02 Å³ per atom. The space group is Fm-3m.


Entry 3:
A geometry-optimized RbBe3Mo structure. Source: Alexandria via LeMat-Bulk, functional PBEsol.

```
RbBe3Mo
1.0
4.3274 0.0000 0.0000
0.0000 4.3274 0.0000
0.0000 0.0000 4.3274
Rb Be Mo
1 3 1
direct
0.0000 0.0000 0.0000 Rb
0.0000 0.0000 0.5000 Be
0.0000 0.5000 0.0000 Be
0.5000 0.0000 0.0000 Be
0.5000 0.5000 0.5000 Mo
```

Output
For the formation energy from the elements, the calculation gives 2881 meV per atom. Its volume is 16.21 Å³ per atom. The space group is Pm-3m.


Entry 4:
A geometry-optimized Rb3BeMo structure. Source: Alexandria via LeMat-Bulk, functional PBEsol.

```
Rb3BeMo
1.0
6.4501 0.0000 0.0000
0.0000 6.4501 0.0000
0.0000 0.0000 6.4501
Rb Be Mo
3 1 1
direct
0.0000 0.0000 0.5000 Rb
0.0000 0.5000 0.0000 Rb
0.5000 0.0000 0.0000 Rb
0.0000 0.0000 0.0000 Be
0.5000 0.5000 0.5000 Mo
```

Output
For the formation energy from the elements, the calculation gives 1703 meV per atom. Its volume is 53.67 Å³ per atom. The space group is Pm-3m.